Cr2Ag3O8: relaxed, PBE+U.

Output
E = -5.603 eV/atom
size of the total moment = 0.00 μB/cell

Structure (CIF):
```
data_Cr2Ag3O8
_chemical_formula_sum 'Cr8 Ag12 O32'
_cell_length_a 6.9941
_cell_length_b 12.5810
_cell_length_c 8.5180
_cell_angle_alpha 90.00
_cell_angle_beta 90.00
_cell_angle_gamma 90.00
_space_group_name_H-M_alt 'C m c e'
_space_group_IT_number 64
_space_group_name_Hall '-C 2ac 2'
loop_
_atom_site_label
_atom_site_type_symbol
_atom_site_fract_x
_atom_site_fract_y
_atom_site_fract_z
_atom_site_occupancy
Cr1 Cr 0.0000 0.1290 0.1135 1
Ag1 Ag 0.0000 0.0000 0.5000 1
Ag2 Ag 0.2500 0.1317 0.7500 1
O1 O 0.0000 0.0249 0.2403 1
O2 O 0.0000 0.2446 0.2105 1
O3 O 0.1976 0.1216 0.0027 1
```